Entry 1:
First-principles (PBE) data for a relaxed TaNbGa2 crystal, as listed in Alexandria via LeMat-Bulk.

Results
DFT total energy ... -7.134 eV per atom
Polymorph energy (0 for the lowest one) ... 10.96 kJ/mol of atoms
Energy of formation from the pure elements ... -140 meV per atom

Unit cell a=2.954 b=2.954 c=9.302 alpha=80.86 beta=80.86 gamma=60.00
Fractional coordinates of all 4 atoms:
Ta 0.500 0.500 0.499
Nb 0.666 0.666 0.001
Ga 0.083 0.083 0.750
Ga 0.250 0.250 0.250

***

Entry 2:
First-principles (PBE) data for a relaxed TaNbGa2 crystal, as listed in Alexandria via LeMat-Bulk.

Results
DFT total energy ... -6.970 eV per atom
Polymorph energy (0 for the lowest one) ... 26.83 kJ/mol of atoms
Energy of formation from the pure elements ... 24 meV per atom

Unit cell a=4.553 b=4.553 c=4.553 alpha=60.00 beta=60.00 gamma=60.00
Fractional coordinates of all 4 atoms:
Nb 0.000 0.000 0.000
Ga 0.250 0.250 0.250
Ga 0.750 0.750 0.750
Ta 0.500 0.500 0.500

***

Entry 3:
First-principles (PBE) data for a relaxed TaNb2Ga2 crystal, as listed in Alexandria via LeMat-Bulk.

Results
DFT total energy ... -7.981 eV per atom
Energy of formation from the pure elements ... -372 meV per atom

Unit cell a=6.940 b=6.940 c=3.515 alpha=90.00 beta=90.00 gamma=90.00
Fractional coordinates of all 10 atoms:
Nb 0.175 0.675 0.500
Nb 0.675 0.825 0.500
Nb 0.825 0.325 0.500
Nb 0.325 0.175 0.500
Ga 0.374 0.874 0.000
Ga 0.874 0.626 0.000
Ga 0.626 0.126 0.000
Ga 0.126 0.374 0.000
Ta 0.000 0.000 0.000
Ta 0.500 0.500 0.000

***

Entry 4:
First-principles (PBE) data for a relaxed Ta2NbGa2 crystal, as listed in Alexandria via LeMat-Bulk.

Results
DFT total energy ... -8.259 eV per atom
Energy of formation from the pure elements ... -294 meV per atom

Unit cell a=6.924 b=6.924 c=3.518 alpha=90.00 beta=90.00 gamma=90.00
Fractional coordinates of all 10 atoms:
Nb 0.000 0.000 0.000
Nb 0.500 0.500 0.000
Ga 0.374 0.874 0.000
Ga 0.874 0.626 0.000
Ga 0.626 0.126 0.000
Ga 0.126 0.374 0.000
Ta 0.175 0.675 0.500
Ta 0.675 0.825 0.500
Ta 0.825 0.325 0.500
Ta 0.325 0.175 0.500

***

Entry 5:
First-principles (PBE) data for a relaxed Ta3NbGa crystal, as listed in Alexandria via LeMat-Bulk.

Results
DFT total energy ... -8.555 eV per atom
Polymorph energy (0 for the lowest one) ... 0.00 kJ/mol of atoms
Energy of formation from the pure elements ... 1176 meV per atom

Unit cell a=4.710 b=4.710 c=4.710 alpha=90.00 beta=90.00 gamma=90.00
Fractional coordinates of all 5 atoms:
Nb 0.500 0.500 0.500
Ga 0.000 0.000 0.000
Ta 0.000 0.500 0.000
Ta 0.000 0.000 0.500
Ta 0.500 0.000 0.000

***

Entry 6:
First-principles (PBE) data for a relaxed Ta3NbGa crystal, as listed in Alexandria via LeMat-Bulk.

Results
DFT total energy ... -8.102 eV per atom
Polymorph energy (0 for the lowest one) ... 43.68 kJ/mol of atoms
Energy of formation from the pure elements ... 1629 meV per atom

Unit cell a=4.878 b=4.878 c=4.878 alpha=90.00 beta=90.00 gamma=90.00
Fractional coordinates of all 5 atoms:
Nb 0.000 0.000 0.000
Ga 0.500 0.500 0.500
Ta 0.000 0.500 0.000
Ta 0.000 0.000 0.500
Ta 0.500 0.000 0.000

***

Entry 7:
First-principles (PBE) data for a relaxed TaNb6Ga crystal, as listed in Alexandria via LeMat-Bulk.

Results
DFT total energy ... -9.485 eV per atom
Polymorph energy (0 for the lowest one) ... 5.29 kJ/mol of atoms
Energy of formation from the pure elements ... -73 meV per atom

Unit cell a=4.661 b=4.661 c=8.098 alpha=73.27 beta=73.27 gamma=60.00
Fractional coordinates of all 8 atoms:
Ta 0.500 0.500 0.500
Nb 0.624 0.624 0.129
Nb 0.125 0.125 0.626
Nb 0.875 0.875 0.374
Nb 0.376 0.376 0.871
Nb 0.253 0.253 0.242
Nb 0.747 0.747 0.758
Ga 0.000 0.000 0.000

***

Entry 8:
First-principles (PBE) data for a relaxed TaNbGa2 crystal, as listed in Alexandria via LeMat-Bulk.

Results
DFT total energy ... -7.169 eV per atom
Polymorph energy (0 for the lowest one) ... 7.58 kJ/mol of atoms
Energy of formation from the pure elements ... -175 meV per atom

Unit cell a=2.861 b=2.861 c=8.184 alpha=90.00 beta=90.00 gamma=90.00
Fractional coordinates of all 4 atoms:
Nb 0.500 0.500 0.000
Ga 0.000 0.000 0.750
Ga 0.000 0.000 0.250
Ta 0.500 0.500 0.500

***

Entry 9:
First-principles (PBE) data for a relaxed TaNb6Ga crystal, as listed in Alexandria via LeMat-Bulk.

Results
DFT total energy ... -9.540 eV per atom
Polymorph energy (0 for the lowest one) ... 0.00 kJ/mol of atoms
Energy of formation from the pure elements ... -128 meV per atom

Unit cell a=7.434 b=7.428 c=5.253 alpha=45.01 beta=44.94 gamma=59.99
Fractional coordinates of all 8 atoms:
Ta 0.500 0.500 0.500
Nb 0.001 0.500 0.752
Nb 0.747 0.000 0.752
Nb 0.500 0.252 0.248
Nb 0.253 0.000 0.248
Nb 0.999 0.500 0.248
Nb 0.500 0.748 0.752
Ga 0.000 0.000 0.000

***

Entry 10:
First-principles (PBE) data for a relaxed TaNb2Ga crystal, as listed in Alexandria via LeMat-Bulk.

Results
DFT total energy ... -8.896 eV per atom
Energy of formation from the pure elements ... -141 meV per atom

Unit cell a=2.854 b=2.854 c=8.992 alpha=89.99 beta=89.99 gamma=75.12
Fractional coordinates of all 4 atoms:
Ta 0.625 0.625 0.500
Nb 0.125 0.125 0.759
Nb 0.125 0.125 0.241
Ga 0.625 0.625 0.000

***

Entry 11:
First-principles (PBE) data for a relaxed TaNbGa2 crystal, as listed in Alexandria via LeMat-Bulk.

Results
DFT total energy ... -6.873 eV per atom
Polymorph energy (0 for the lowest one) ... 36.21 kJ/mol of atoms
Energy of formation from the pure elements ... 121 meV per atom

Unit cell a=3.695 b=3.695 c=6.483 alpha=73.44 beta=73.44 gamma=60.00
Fractional coordinates of all 4 atoms:
Nb 0.500 0.500 0.500
Ga 0.250 0.250 0.250
Ga 0.750 0.750 0.750
Ta 0.000 0.000 0.000

***

Entry 12:
First-principles (PBE) data for a relaxed TaNb2GaTe crystal, as listed in Alexandria via LeMat-Bulk.

Results
DFT total energy ... -6.564 eV per atom

Unit cell a=4.982 b=4.961 c=4.982 alpha=90.00 beta=90.00 gamma=90.00
Fractional coordinates of all 5 atoms:
Nb 0.000 0.000 0.500
Nb 0.500 0.000 0.000
Te 0.500 0.500 0.500
Ga 0.000 0.500 0.000
Ta 0.000 0.000 0.000

***

Entry 13:
First-principles (PBE) data for a relaxed TaNb2V5Ga2 crystal, as listed in Alexandria via LeMat-Bulk.

Results
DFT total energy ... -8.306 eV per atom
Energy of formation from the pure elements ... 58 meV per atom

Unit cell a=3.598 b=9.334 c=9.334 alpha=90.00 beta=90.00 gamma=90.00
Fractional coordinates of all 20 atoms:
Ta 0.000 0.000 0.000
Ta 0.000 0.500 0.500
Nb 0.000 0.668 0.168
Nb 0.000 0.332 0.832
Nb 0.000 0.168 0.332
Nb 0.000 0.832 0.668
V 0.500 0.198 0.070
V 0.500 0.802 0.930
V 0.500 0.070 0.802
V 0.500 0.698 0.430
V 0.500 0.930 0.198
V 0.500 0.302 0.570
V 0.500 0.570 0.698
V 0.500 0.430 0.302
V 0.500 0.500 0.000
V 0.500 0.000 0.500
Ga 0.000 0.130 0.630
Ga 0.000 0.870 0.370
Ga 0.000 0.630 0.870
Ga 0.000 0.370 0.130

***

Entry 14:
First-principles (PBE) data for a relaxed TbNb2Ga6 crystal, as listed in Alexandria via LeMat-Bulk.

Results
DFT total energy ... -5.037 eV per atom
Energy of formation from the pure elements ... -267 meV per atom

Unit cell a=4.004 b=7.403 c=7.403 alpha=54.21 beta=74.31 gamma=74.31
Fractional coordinates of all 9 atoms:
Tb 0.000 0.000 0.000
Nb 0.883 0.617 0.617
Nb 0.117 0.383 0.383
Ga 0.689 0.014 0.607
Ga 0.311 0.986 0.393
Ga 0.311 0.393 0.986
Ga 0.500 0.687 0.313
Ga 0.500 0.313 0.687
Ga 0.689 0.607 0.014

***

Entry 15:
First-principles (PBE) data for a relaxed TbNbGa4 crystal, as listed in Alexandria via LeMat-Bulk.

Results
DFT total energy ... -4.813 eV per atom
Polymorph energy (0 for the lowest one) ... 0.00 kJ/mol of atoms
Energy of formation from the pure elements ... -345 meV per atom

Unit cell a=5.317 b=5.317 c=5.317 alpha=60.00 beta=60.00 gamma=60.00
Fractional coordinates of all 6 atoms:
Nb 0.000 0.000 0.000
Tb 0.250 0.250 0.250
Ga 0.625 0.625 0.124
Ga 0.625 0.124 0.625
Ga 0.625 0.625 0.625
Ga 0.124 0.625 0.625

***

Entry 16:
First-principles (PBE) data for a relaxed TbNbGa2 crystal, as listed in Alexandria via LeMat-Bulk.

Results
DFT total energy ... -5.297 eV per atom
Polymorph energy (0 for the lowest one) ... 23.11 kJ/mol of atoms
Energy of formation from the pure elements ... -108 meV per atom

Unit cell a=3.175 b=3.175 c=9.517 alpha=80.40 beta=80.40 gamma=60.00
Fractional coordinates of all 4 atoms:
Nb 0.000 0.000 0.000
Tb 0.500 0.500 0.500
Ga 0.744 0.744 0.769
Ga 0.256 0.256 0.231

***

Entry 17:
First-principles (PBE) data for a relaxed TbNbGa2 crystal, as listed in Alexandria via LeMat-Bulk.

Results
DFT total energy ... -5.536 eV per atom
Polymorph energy (0 for the lowest one) ... 0.00 kJ/mol of atoms
Energy of formation from the pure elements ... -348 meV per atom

Unit cell a=3.552 b=3.552 c=6.230 alpha=90.00 beta=90.00 gamma=90.00
Fractional coordinates of all 4 atoms:
Nb 0.500 0.500 0.000
Tb 0.500 0.500 0.500
Ga 0.000 0.000 0.793
Ga 0.000 0.000 0.207

***

Entry 18:
First-principles (PBE) data for a relaxed TbNbGa3 crystal, as listed in Alexandria via LeMat-Bulk.

Results
DFT total energy ... -4.950 eV per atom
Energy of formation from the pure elements ... -194 meV per atom

Unit cell a=4.050 b=4.050 c=6.848 alpha=107.20 beta=107.20 gamma=90.00
Fractional coordinates of all 5 atoms:
Tb 0.987 0.987 0.974
Nb 0.633 0.633 0.265
Ga 0.274 0.774 0.548
Ga 0.774 0.274 0.548
Ga 0.423 0.423 0.845

***

Entry 19:
First-principles (PBE) data for a relaxed Tb2NbGa crystal, as listed in Alexandria via LeMat-Bulk.

Results
DFT total energy ... -5.232 eV per atom
Energy of formation from the pure elements ... 357 meV per atom

Unit cell a=3.242 b=3.242 c=10.939 alpha=81.48 beta=81.48 gamma=60.00
Fractional coordinates of all 4 atoms:
Nb 0.000 0.000 0.000
Tb 0.093 0.093 0.722
Tb 0.907 0.907 0.278
Ga 0.500 0.500 0.500

***

Entry 20:
First-principles (PBE) data for a relaxed TbNbGa4 crystal, as listed in Alexandria via LeMat-Bulk.

Results
DFT total energy ... -4.777 eV per atom
Polymorph energy (0 for the lowest one) ... 3.47 kJ/mol of atoms
Energy of formation from the pure elements ... -309 meV per atom

Unit cell a=4.156 b=5.563 c=5.563 alpha=81.12 beta=68.07 gamma=68.07
Fractional coordinates of all 6 atoms:
Tb 0.000 0.000 0.000
Nb 0.500 0.500 0.500
Ga 0.246 0.419 0.089
Ga 0.246 0.089 0.419
Ga 0.754 0.581 0.911
Ga 0.754 0.911 0.581